# 1
Crystalline CuAsPt2 at its relaxed geometry, computed with PBE. Values from VASP.

Cell and atoms, written as Quantum ESPRESSO input:
```
&SYSTEM
  ibrav = 0, nat = 4, ntyp = 3
/
ATOMIC_SPECIES
As 74.92 As.upf
Cu 63.55 Cu.upf
Pt 195.08 Pt.upf
CELL_PARAMETERS angstrom
-0.1173 -1.8160 -2.7498
2.6109 -1.7299 1.0311
-3.4091 -3.6297 2.5426
ATOMIC_POSITIONS crystal
As 0.5000 0.5000 0.2500
Cu 0.5000 0.5000 0.7500
Pt 0.0000 0.0000 0.5053
Pt 0.0000 0.0000 0.9947
```

Output
ΔE_f	-12.4	kJ per mole of atoms
energy	-5.34	eV/atom

=====

# 2
Crystalline SmZr2Hg at its relaxed geometry, computed with PBE. Values from VASP.

Cell and atoms, written as Quantum ESPRESSO input:
```
&SYSTEM
  ibrav = 0, nat = 4, ntyp = 3
/
ATOMIC_SPECIES
Zr 91.22 Zr.upf
Hg 200.59 Hg.upf
Sm 150.36 Sm.upf
CELL_PARAMETERS angstrom
-1.7062 -1.3637 -2.3197
1.2703 -0.3841 -2.8966
3.8531 -10.8940 1.3820
ATOMIC_POSITIONS crystal
Zr 0.0935 0.0935 0.7196
Zr 0.9065 0.9065 0.2804
Hg 0.5000 0.5000 0.5000
Sm 0.0000 0.0000 0.0000
```

Output
ΔE_f	24.0	kJ per mole of atoms
energy	-5.28	eV/atom
relative energy among the computed polymorphs	284	meV per atom

=====

Copy entry 2 word for word.
Crystalline SmZr2Hg at its relaxed geometry, computed with PBE. Values from VASP.

Cell and atoms, written as Quantum ESPRESSO input:
```
&SYSTEM
  ibrav = 0, nat = 4, ntyp = 3
/
ATOMIC_SPECIES
Zr 91.22 Zr.upf
Hg 200.59 Hg.upf
Sm 150.36 Sm.upf
CELL_PARAMETERS angstrom
-1.7062 -1.3637 -2.3197
1.2703 -0.3841 -2.8966
3.8531 -10.8940 1.3820
ATOMIC_POSITIONS crystal
Zr 0.0935 0.0935 0.7196
Zr 0.9065 0.9065 0.2804
Hg 0.5000 0.5000 0.5000
Sm 0.0000 0.0000 0.0000
```

Output
ΔE_f	24.0	kJ per mole of atoms
energy	-5.28	eV/atom
relative energy among the computed polymorphs	284	meV per atom

=====

Copy entry 2 word for word.
Crystalline SmZr2Hg at its relaxed geometry, computed with PBE. Values from VASP.

Cell and atoms, written as Quantum ESPRESSO input:
```
&SYSTEM
  ibrav = 0, nat = 4, ntyp = 3
/
ATOMIC_SPECIES
Zr 91.22 Zr.upf
Hg 200.59 Hg.upf
Sm 150.36 Sm.upf
CELL_PARAMETERS angstrom
-1.7062 -1.3637 -2.3197
1.2703 -0.3841 -2.8966
3.8531 -10.8940 1.3820
ATOMIC_POSITIONS crystal
Zr 0.0935 0.0935 0.7196
Zr 0.9065 0.9065 0.2804
Hg 0.5000 0.5000 0.5000
Sm 0.0000 0.0000 0.0000
```

Output
ΔE_f	24.0	kJ per mole of atoms
energy	-5.28	eV/atom
relative energy among the computed polymorphs	284	meV per atom

=====

Which value of ΔE_f does entry 1 give? -12.4 kJ per mole of atoms

=====

Please write out number 1 again, unchanged.
Crystalline CuAsPt2 at its relaxed geometry, computed with PBE. Values from VASP.

Cell and atoms, written as Quantum ESPRESSO input:
```
&SYSTEM
  ibrav = 0, nat = 4, ntyp = 3
/
ATOMIC_SPECIES
As 74.92 As.upf
Cu 63.55 Cu.upf
Pt 195.08 Pt.upf
CELL_PARAMETERS angstrom
-0.1173 -1.8160 -2.7498
2.6109 -1.7299 1.0311
-3.4091 -3.6297 2.5426
ATOMIC_POSITIONS crystal
As 0.5000 0.5000 0.2500
Cu 0.5000 0.5000 0.7500
Pt 0.0000 0.0000 0.5053
Pt 0.0000 0.0000 0.9947
```

Output
ΔE_f	-12.4	kJ per mole of atoms
energy	-5.34	eV/atom